The following is a DFT calculation (PBE) of LiTmThCr after structural relaxation.

abc: 7.167 7.167 7.167
angles: 90.00 90.00 90.00
Atoms (fractional coordinates):
Li: 0.000 0.000 0.000
Li: 0.000 0.500 0.500
Li: 0.500 0.000 0.500
Li: 0.500 0.500 0.000
Tm: 0.250 0.250 0.250
Tm: 0.250 0.750 0.750
Tm: 0.750 0.250 0.750
Tm: 0.750 0.750 0.250
Th: 0.250 0.250 0.750
Th: 0.250 0.750 0.250
Th: 0.750 0.250 0.250
Th: 0.750 0.750 0.750
Cr: 0.000 0.000 0.500
Cr: 0.000 0.500 0.000
Cr: 0.500 0.000 0.000
Cr: 0.500 0.500 0.500

Summary:
- Energy of formation: 4.88 kcal/mol of atoms
- Theoretical density: 8.30 g/cm³
- Final energy: -5.646 eV per atom
- Space-group type: No. 216

The following is a DFT calculation (PBE) of LiYThCr after structural relaxation.

abc: 7.233 7.233 7.233
angles: 90.00 90.00 90.00
Atoms (fractional coordinates):
Li: 0.000 0.000 0.000
Li: 0.000 0.500 0.500
Li: 0.500 0.000 0.500
Li: 0.500 0.500 0.000
Y: 0.250 0.250 0.750
Y: 0.250 0.750 0.250
Y: 0.750 0.250 0.250
Y: 0.750 0.750 0.750
Th: 0.250 0.250 0.250
Th: 0.250 0.750 0.750
Th: 0.750 0.250 0.750
Th: 0.750 0.750 0.250
Cr: 0.000 0.000 0.500
Cr: 0.000 0.500 0.000
Cr: 0.500 0.000 0.000
Cr: 0.500 0.500 0.500

Summary:
- Energy of formation: 5.24 kcal/mol of atoms
- Theoretical density: 6.67 g/cm³
- Final energy: -6.128 eV per atom
- Space-group type: No. 216

The following is a DFT calculation (PBE) of LiTi2Cr after structural relaxation.

abc: 6.110 6.110 6.110
angles: 90.00 90.00 90.00
Atoms (fractional coordinates):
Li: 0.000 0.000 0.000
Li: 0.000 0.500 0.500
Li: 0.500 0.000 0.500
Li: 0.500 0.500 0.000
Ti: 0.250 0.250 0.250
Ti: 0.250 0.250 0.750
Ti: 0.250 0.750 0.250
Ti: 0.250 0.750 0.750
Ti: 0.750 0.250 0.250
Ti: 0.750 0.250 0.750
Ti: 0.750 0.750 0.250
Ti: 0.750 0.750 0.750
Cr: 0.000 0.000 0.500
Cr: 0.000 0.500 0.000
Cr: 0.500 0.000 0.000
Cr: 0.500 0.500 0.500

Summary:
- Energy of formation: 5.21 kcal/mol of atoms
- Theoretical density: 4.50 g/cm³
- Final energy: -6.606 eV per atom
- Space-group type: No. 225

The following is a DFT calculation (PBE) of Li2TiCr after structural relaxation.

abc: 7.118 7.118 4.769
angles: 90.00 90.00 90.00
Atoms (fractional coordinates):
Li: 0.235 0.750 0.125
Li: 0.250 0.235 0.875
Li: 0.250 0.265 0.375
Li: 0.265 0.750 0.625
Li: 0.735 0.250 0.625
Li: 0.750 0.735 0.375
Li: 0.750 0.765 0.875
Li: 0.765 0.250 0.125
Ti: 0.000 0.000 0.500
Ti: 0.000 0.500 0.750
Ti: 0.500 0.000 0.250
Ti: 0.500 0.500 0.000
Cr: 0.000 0.000 0.000
Cr: 0.000 0.500 0.250
Cr: 0.500 0.000 0.750
Cr: 0.500 0.500 0.500

Summary:
- Energy of formation: 15.35 kcal/mol of atoms
- Theoretical density: 3.13 g/cm³
- Final energy: -4.671 eV per atom
- Space-group type: No. 122

The following is a DFT calculation (PBE) of LiTiCr3 after structural relaxation.

abc: 4.338 4.338 4.338
angles: 90.00 90.00 90.00
Atoms (fractional coordinates):
Li: 0.000 0.000 0.000
Ti: 0.500 0.500 0.500
Cr: 0.000 0.500 0.500
Cr: 0.500 0.000 0.500
Cr: 0.500 0.500 0.000

Summary:
- Energy of formation: 35.44 kcal/mol of atoms
- Theoretical density: 4.29 g/cm³
- Final energy: -6.199 eV per atom
- Space-group type: No. 221

The following is a DFT calculation (PBE) of LiTiCr3 after structural relaxation.

abc: 4.033 4.033 4.033
angles: 90.00 90.00 90.00
Atoms (fractional coordinates):
Li: 0.000 0.000 0.000
Ti: 0.500 0.500 0.500
Cr: 0.000 0.000 0.500
Cr: 0.000 0.500 0.000
Cr: 0.500 0.000 0.000

Summary:
- Energy of formation: 29.08 kcal/mol of atoms
- Theoretical density: 5.34 g/cm³
- Final energy: -6.475 eV per atom
- Space-group type: No. 221

The following is a DFT calculation (PBE) of Li3TiCr after structural relaxation.

abc: 4.630 4.630 4.630
angles: 90.00 90.00 90.00
Atoms (fractional coordinates):
Li: 0.000 0.000 0.500
Li: 0.000 0.500 0.000
Li: 0.500 0.000 0.000
Ti: 0.500 0.500 0.500
Cr: 0.000 0.000 0.000

Summary:
- Energy of formation: 23.04 kcal/mol of atoms
- Theoretical density: 2.02 g/cm³
- Final energy: -3.653 eV per atom
- Space-group type: No. 221

The following is a DFT calculation (PBE) of LiTi2Cr after structural relaxation.

abc: 6.817 6.817 9.788
angles: 90.00 90.00 90.00
Atoms (fractional coordinates):
Li: 0.000 0.250 0.375
Li: 0.000 0.750 0.625
Li: 0.500 0.250 0.125
Li: 0.500 0.750 0.875
Ti: 0.000 0.000 0.000
Ti: 0.000 0.500 0.000
Ti: 0.250 0.250 0.750
Ti: 0.250 0.750 0.250
Ti: 0.500 0.000 0.500
Ti: 0.500 0.500 0.500
Ti: 0.750 0.250 0.750
Ti: 0.750 0.750 0.250
Cr: 0.000 0.250 0.875
Cr: 0.000 0.750 0.125
Cr: 0.500 0.250 0.625
Cr: 0.500 0.750 0.375

Summary:
- Energy of formation: 30.94 kcal/mol of atoms
- Theoretical density: 2.26 g/cm³
- Final energy: -5.490 eV per atom
- Space-group type: No. 141

The following is a DFT calculation (PBE) of LiTi2Cr after structural relaxation.

abc: 2.995 2.995 7.341
angles: 90.00 90.00 90.00
Atoms (fractional coordinates):
Li: 0.000 0.000 0.000
Ti: 0.500 0.500 0.306
Ti: 0.500 0.500 0.694
Cr: 0.000 0.000 0.500

Summary:
- Energy of formation: 3.11 kcal/mol of atoms
- Theoretical density: 3.90 g/cm³
- Final energy: -6.697 eV per atom
- Space-group type: No. 123

The following is a DFT calculation (PBE) of Li2TiCr after structural relaxation.

abc: 6.005 6.005 6.005
angles: 90.00 90.00 90.00
Atoms (fractional coordinates):
Li: 0.250 0.250 0.250
Li: 0.250 0.250 0.750
Li: 0.250 0.750 0.250
Li: 0.250 0.750 0.750
Li: 0.750 0.250 0.250
Li: 0.750 0.250 0.750
Li: 0.750 0.750 0.250
Li: 0.750 0.750 0.750
Ti: 0.000 0.000 0.000
Ti: 0.000 0.500 0.500
Ti: 0.500 0.000 0.500
Ti: 0.500 0.500 0.000
Cr: 0.000 0.000 0.500
Cr: 0.000 0.500 0.000
Cr: 0.500 0.000 0.000
Cr: 0.500 0.500 0.500

Summary:
- Energy of formation: 17.55 kcal/mol of atoms
- Theoretical density: 3.49 g/cm³
- Final energy: -4.575 eV per atom
- Space-group type: No. 225

The following is a DFT calculation (PBE) of LiTlCr2 after structural relaxation.

abc: 2.867 4.729 4.717
angles: 90.00 97.59 90.00
Atoms (fractional coordinates):
Li: 0.000 0.000 0.000
Tl: 0.500 0.000 0.500
Cr: 0.317 0.500 0.814
Cr: 0.683 0.500 0.186

Summary:
- Energy of formation: 14.27 kcal/mol of atoms
- Theoretical density: 8.26 g/cm³
- Final energy: -5.263 eV per atom
- Space-group type: No. 10

The following is a DFT calculation (PBE) of LiTlCr2 after structural relaxation.

abc: 3.146 3.146 28.181
angles: 90.00 90.00 120.00
Atoms (fractional coordinates):
Li: 0.000 0.000 0.000
Li: 0.333 0.667 0.667
Li: 0.667 0.333 0.333
Tl: 0.000 0.000 0.500
Tl: 0.333 0.667 0.167
Tl: 0.667 0.333 0.833
Cr: 0.000 0.000 0.251
Cr: 0.000 0.000 0.749
Cr: 0.333 0.667 0.416
Cr: 0.333 0.667 0.918
Cr: 0.667 0.333 0.082
Cr: 0.667 0.333 0.584

Summary:
- Energy of formation: 18.35 kcal/mol of atoms
- Theoretical density: 6.50 g/cm³
- Final energy: -5.086 eV per atom
- Space-group type: No. 166

energy of formation of number 8 (LiTi2Cr)?
30.94 kcal/mol of atoms